# Tb5YHo7 (PBE, optimized geometry)
# DFT total energy	-116.72	eV for the cell shown
# magnetization	0.00	μB per cell
# excess energy over the best structure of this formula in the dataset	0.0027	eV per atom
# density of states at the Fermi level	49.886	states/eV per cell
# ΔE_f	254.0	meV per atom
data_Tb5YHo7
_chemical_formula_sum 'Tb10 Y2 Ho14'
_symmetry_space_group_name_H-M 'I m m 2'
_symmetry_Int_Tables_number 44
_cell_length_a 6.653
_cell_length_b 11.115
_cell_length_c 11.504
_cell_angle_alpha 90.00
_cell_angle_beta 90.00
_cell_angle_gamma 90.00
loop_
_symmetry_equiv_pos_as_xyz
'x,y,z'
'-x,-y,z'
'-x,y,z'
'x,-y,z'
'x+1/2,y+1/2,z+1/2'
'-x+1/2,-y+1/2,z+1/2'
'-x+1/2,y+1/2,z+1/2'
'x+1/2,-y+1/2,z+1/2'
loop_
_atom_site_label
_atom_site_type_symbol
_atom_site_fract_x
_atom_site_fract_y
_atom_site_fract_z
Tb1 Tb 0.000 0.000 0.000
Tb2 Tb 0.232 0.272 0.501
Y1 Y 0.000 0.500 0.698
Ho1 Ho 0.000 0.000 0.495
Ho2 Ho 0.000 0.167 0.749
Ho3 Ho 0.000 0.172 0.250
Ho4 Ho 0.000 0.500 0.007
Ho5 Ho 0.000 0.500 0.310